Entry 1:
Computed, not measured: a PBEsol-optimized structure of Zr2HgTe at the meta-GGA SCAN level of DFT.

a = 6.4651 Å, b = 7.6465 Å, c = 3.4491 Å
α = 90.00°, β = 90.00°, γ = 90.00°
Space group Cmmm (No. 65)
Inequivalent atoms, fractional coordinates:
Zr 0.2500 0.2500 0.0000 [4 per cell]
Hg 0.0000 0.0000 0.5000 [2 per cell]
Te 0.0000 0.5000 0.5000 [2 per cell]

Summary:
ΔE to the lowest computed polymorph = 0 meV/atom
theoretical density = 9.9 g/cm3
size of the total moment = 0.0 μB per cell
total DFT energy (no corrections) = -42.189 eV per atom
E_form (uncorrected) = -485 meV/atom

***

Entry 2:
Computed, not measured: a PBEsol-optimized structure of Zr2HgTe at the meta-GGA SCAN level of DFT.

a = 3.4558 Å, b = 3.4558 Å, c = 7.1516 Å
α = 90.00°, β = 90.00°, γ = 90.00°
Space group P4/mmm (No. 123)
Inequivalent atoms, fractional coordinates:
Zr 0.0000 0.0000 0.2376 [2 per cell]
Hg 0.5000 0.5000 0.5000 [1 per cell]
Te 0.5000 0.5000 0.0000 [1 per cell]

Summary:
ΔE to the lowest computed polymorph = 2 meV/atom
theoretical density = 9.9 g/cm3
size of the total moment = 0.0 μB per cell
total DFT energy (no corrections) = -42.186 eV per atom
E_form (uncorrected) = -483 meV/atom

***

Entry 3:
Computed, not measured: a PBEsol-optimized structure of ZrHgTe2 at the meta-GGA SCAN level of DFT.

a = 3.8718 Å, b = 3.8718 Å, c = 25.8990 Å
α = 90.00°, β = 90.00°, γ = 120.00°
Space group R-3m (No. 166, hexagonal axes)
Inequivalent atoms, fractional coordinates:
Zr 0.0000 0.0000 0.0000 [3 per cell]
Hg 0.0000 0.0000 0.5000 [3 per cell]
Te 0.0000 0.0000 0.2629 [6 per cell]

Summary:
theoretical density = 8.1 g/cm3
size of the total moment = 0.0 μB per cell
total DFT energy (no corrections) = -44.022 eV per atom
E_form (uncorrected) = -680 meV/atom

***

Entry 4:
Computed, not measured: a PBEsol-optimized structure of ZrHg2Te at the meta-GGA SCAN level of DFT.

a = 4.3925 Å, b = 4.3925 Å, c = 9.1540 Å
α = 90.00°, β = 90.00°, γ = 90.00°
Space group I-4m2 (No. 119)
Inequivalent atoms, fractional coordinates:
Zr 0.0000 0.0000 0.0000 [2 per cell]
Hg 0.0000 0.0000 0.5000 [2 per cell]
Hg 0.0000 0.5000 0.2500 [2 per cell]
Te 0.0000 0.5000 0.7500 [2 per cell]

Summary:
theoretical density = 11.7 g/cm3
size of the total moment = 0.0 μB per cell
total DFT energy (no corrections) = -51.304 eV per atom
E_form (uncorrected) = -234 meV/atom

***

Entry 5:
Computed, not measured: a PBEsol-optimized structure of ZrHg2Te at the meta-GGA SCAN level of DFT.

a = 3.6219 Å, b = 5.4589 Å, c = 4.7411 Å
α = 90.00°, β = 91.54°, γ = 90.00°
Space group P2/m (No. 10)
Inequivalent atoms, fractional coordinates:
Zr 0.0000 0.0000 0.0000 [1 per cell]
Hg 0.2410 0.5000 0.7581 [2 per cell]
Te 0.5000 0.0000 0.5000 [1 per cell]

Summary:
theoretical density = 11.0 g/cm3
size of the total moment = 0.0 μB per cell
total DFT energy (no corrections) = -51.189 eV per atom
E_form (uncorrected) = -119 meV/atom

***

Entry 6:
Computed, not measured: a PBEsol-optimized structure of ThHg2 at the meta-GGA SCAN level of DFT.

a = 4.8294 Å, b = 4.8294 Å, c = 7.3918 Å
α = 90.00°, β = 90.00°, γ = 120.00°
Space group P6_3/mmc (No. 194)
Inequivalent atoms, fractional coordinates:
Th 0.0000 0.0000 0.2500 [2 per cell]
Hg 0.3333 0.6667 0.0417 [4 per cell]

Summary:
theoretical density = 14.1 g/cm3
size of the total moment = 0.0 μB per cell
total DFT energy (no corrections) = -77.835 eV per atom
ΔH_f (0 K) = -418 meV/atom

***

Entry 7:
Computed, not measured: a PBEsol-optimized structure of Ti3Hg at the meta-GGA SCAN level of DFT.

a = 5.1166 Å, b = 5.1166 Å, c = 5.1166 Å
α = 90.00°, β = 90.00°, γ = 90.00°
Space group Pm-3n (No. 223)
Inequivalent atoms, fractional coordinates:
Ti 0.0000 0.2500 0.5000 [6 per cell]
Hg 0.0000 0.0000 0.0000 [2 per cell]

Summary:
ΔE to the lowest computed polymorph = 0 meV/atom
theoretical density = 8.5 g/cm3
size of the total moment = 0.0 μB per cell
total DFT energy (no corrections) = -29.338 eV per atom
ΔH_f (0 K) = -274 meV/atom

***

Entry 8:
Computed, not measured: a PBEsol-optimized structure of Ti3Hg at the meta-GGA SCAN level of DFT.

a = 4.0736 Å, b = 4.0736 Å, c = 4.0736 Å
α = 90.00°, β = 90.00°, γ = 90.00°
Space group Pm-3m (No. 221)
Inequivalent atoms, fractional coordinates:
Ti 0.0000 0.0000 0.5000 [3 per cell]
Hg 0.5000 0.5000 0.5000 [1 per cell]

Summary:
ΔE to the lowest computed polymorph = 86 meV/atom
theoretical density = 8.5 g/cm3
size of the total moment = 0.0 μB per cell
total DFT energy (no corrections) = -29.252 eV per atom
ΔH_f (0 K) = -188 meV/atom

***

Entry 9:
Computed, not measured: a PBEsol-optimized structure of TiHg at the meta-GGA SCAN level of DFT.

a = 2.9752 Å, b = 2.9752 Å, c = 4.0323 Å
α = 90.00°, β = 90.00°, γ = 90.00°
Space group P4/mmm (No. 123)
Inequivalent atoms, fractional coordinates:
Ti 0.0000 0.0000 0.0000 [1 per cell]
Hg 0.5000 0.5000 0.5000 [1 per cell]

Summary:
theoretical density = 11.6 g/cm3
size of the total moment = 1.0 μB per cell
total DFT energy (no corrections) = -42.338 eV per atom
ΔH_f (0 K) = -240 meV/atom

***

Entry 10:
Computed, not measured: a PBEsol-optimized structure of TiHg3W at the meta-GGA SCAN level of DFT.

a = 5.0768 Å, b = 5.0768 Å, c = 5.0768 Å
α = 90.00°, β = 90.00°, γ = 90.00°
Space group Pm-3m (No. 221)
Inequivalent atoms, fractional coordinates:
Ti 0.0000 0.0000 0.0000 [1 per cell]
Hg 0.0000 0.0000 0.5000 [3 per cell]
W 0.5000 0.5000 0.5000 [1 per cell]

Summary:
theoretical density = 10.6 g/cm3
size of the total moment = 2.2 μB per cell
total DFT energy (no corrections) = -56.406 eV per atom
ΔH_f (0 K) = 1638 meV/atom

***

Entry 11:
Computed, not measured: a PBEsol-optimized structure of Ti3ZnHg at the meta-GGA SCAN level of DFT.

a = 4.9037 Å, b = 4.9037 Å, c = 4.9037 Å
α = 90.00°, β = 90.00°, γ = 90.00°
Space group Pm-3m (No. 221)
Inequivalent atoms, fractional coordinates:
Ti 0.0000 0.0000 0.5000 [3 per cell]
Zn 0.5000 0.5000 0.5000 [1 per cell]
Hg 0.0000 0.0000 0.0000 [1 per cell]

Summary:
theoretical density = 5.8 g/cm3
size of the total moment = 0.0 μB per cell
total DFT energy (no corrections) = -24.911 eV per atom
ΔH_f (0 K) = 1043 meV/atom

***

Entry 12:
Computed, not measured: a PBEsol-optimized structure of TiZn3Hg at the meta-GGA SCAN level of DFT.

a = 4.7879 Å, b = 4.7879 Å, c = 4.7879 Å
α = 90.00°, β = 90.00°, γ = 90.00°
Space group Pm-3m (No. 221)
Inequivalent atoms, fractional coordinates:
Ti 0.0000 0.0000 0.0000 [1 per cell]
Zn 0.0000 0.5000 0.5000 [3 per cell]
Hg 0.5000 0.5000 0.5000 [1 per cell]

Summary:
theoretical density = 6.7 g/cm3
size of the total moment = 2.2 μB per cell
total DFT energy (no corrections) = -24.193 eV per atom
ΔH_f (0 K) = 755 meV/atom